Entry from Alexandria: an optimized crystal structure of Ga3SiNi (PBE).

For the uncorrected energy, the calculation gives -3.8132 eV/atom. The calculation puts the total magnetization at 0.0 μB per formula unit.

The space group is Pm-3m (No. 221) and the conventional cell measures 4.550, 4.550 and 4.550 Å, with angles of 90.00, 90.00 and 90.00 degrees. Symmetry generates all atoms from Ga at (0.000, 0.000, 0.500), Si at (0.500, 0.500, 0.500) and Ni at (0.000, 0.000, 0.000).

---

Entry from Alexandria: an optimized crystal structure of GaSi3Ni (PBE).

For the uncorrected energy, the calculation gives -4.6122 eV/atom. The calculation puts the total magnetization at 0.0 μB per formula unit.

The space group is Pm-3m (No. 221) and the conventional cell measures 4.442, 4.442 and 4.442 Å, with angles of 90.00, 90.00 and 90.00 degrees. Symmetry generates all atoms from Ga at (0.000, 0.000, 0.000), Si at (0.000, 0.500, 0.500) and Ni at (0.500, 0.500, 0.500).

---

> What is the uncorrected energy in the first record?

-3.8132 eV/atom